[1]
A geometry-optimized Nd2NpMnN5 structure. Source: the Alexandria database, functional PBE.

a = 3.492 Å, b = 6.964 Å, c = 10.490 Å
α = 90.00°, β = 90.00°, γ = 104.52°
Last column: magnetic moment on the atom in μB.
Fractional coordinates of all 18 atoms:
N1 0.714 0.428 0.151  -0.07
N2 0.324 0.647 0.393  -0.09
N3 0.637 0.273 0.502  -0.06
N4 0.510 0.019 0.285  0.04
N5 0.363 0.727 0.002  -0.06
N6 0.490 0.981 0.785  0.04
N7 0.036 0.072 0.021  -0.07
N8 0.286 0.572 0.651  -0.07
N9 0.964 0.928 0.521  -0.07
N10 0.676 0.353 0.893  -0.09
Np1 0.202 0.403 0.018  1.84
Np2 0.798 0.597 0.518  1.84
Nd1 0.104 0.208 0.683  0.04
Nd2 0.137 0.273 0.319  0.06
Nd3 0.863 0.727 0.819  0.06
Nd4 0.896 0.792 0.183  0.04
Mn1 0.476 0.952 0.452  1.88
Mn2 0.524 0.048 0.952  1.88

Output
space group = Cmc2_1
total magnetic moment = 3.7 μB per formula unit
raw formation energy = -861 kJ/mol of formula units
mass density = 8.75 g/cm³

[2]
A geometry-optimized Na2VGe2 structure. Source: the Alexandria database, functional PBE.

a = 6.688 Å, b = 6.688 Å, c = 4.900 Å
α = 90.00°, β = 90.00°, γ = 90.00°
Last column: magnetic moment on the atom in μB.
Fractional coordinates of all 10 atoms:
V1 0.000 0.000 0.000  2.06
V2 0.500 0.500 0.000  2.06
Na1 0.329 0.171 0.500  0.00
Na2 0.671 0.829 0.500  0.00
Na3 0.829 0.329 0.500  0.00
Na4 0.171 0.671 0.500  0.00
Ge1 0.642 0.142 0.000  -0.03
Ge2 0.358 0.858 0.000  -0.03
Ge3 0.858 0.642 0.000  -0.03
Ge4 0.142 0.358 0.000  -0.03

Output
DFT total energy = -3.998 eV/atom
space group = P4/mbm
total magnetic moment = 2.4 μB per formula unit
mass density = 3.67 g/cm³

[3]
A geometry-optimized Zr2NbHg structure. Source: the Alexandria database, functional PBE.

a = 3.246 Å, b = 3.246 Å, c = 9.814 Å
α = 80.48°, β = 80.48°, γ = 60.00°
Fractional coordinates of all 4 atoms:
Nb1 0.000 0.000 0.000
Zr1 0.747 0.747 0.759
Zr2 0.253 0.253 0.241
Hg1 0.500 0.500 0.500

Output
DFT total energy = -6.804 eV/atom
space group = R-3m
total magnetic moment = 0.0 μB per formula unit
mass density = 8.99 g/cm³

[4]
A geometry-optimized Nd2SmTi structure. Source: the Alexandria database, functional PBE.

a = 3.417 Å, b = 3.417 Å, c = 12.239 Å
α = 81.98°, β = 81.98°, γ = 60.00°
Last column: magnetic moment on the atom in μB.
Fractional coordinates of all 4 atoms:
Nd1 0.918 0.918 0.246  0.04
Nd2 0.082 0.082 0.754  0.04
Sm1 0.500 0.500 0.500  0.00
Ti1 0.000 0.000 0.000  1.23

Output
DFT total energy = -5.076 eV/atom
space group = R-3m
total magnetic moment = 1.7 μB per formula unit
mass density = 6.62 g/cm³

[5]
A geometry-optimized BeNb2InPd structure. Source: the Alexandria database, functional PBE.

a = 4.440 Å, b = 4.426 Å, c = 4.440 Å
α = 90.00°, β = 90.00°, γ = 90.00°
Fractional coordinates of all 5 atoms:
Pd1 0.500 0.500 0.500
Nb1 0.500 0.000 0.000
Nb2 0.000 0.000 0.500
Be1 0.000 0.000 0.000
In1 0.000 0.500 0.000

Output
DFT total energy = -5.942 eV/atom
space group = P4/mmm
total magnetic moment = 0.0 μB per formula unit
mass density = 7.92 g/cm³

[6]
A geometry-optimized Ho3Zn4In structure. Source: the Alexandria database, functional PBE.

a = 3.571 Å, b = 6.318 Å, c = 9.045 Å
α = 110.44°, β = 101.38°, γ = 90.00°
Fractional coordinates of all 8 atoms:
Zn1 0.624 0.829 0.249
Zn2 0.624 0.420 0.249
Zn3 0.376 0.171 0.751
Zn4 0.376 0.580 0.751
In1 0.500 0.000 0.000
Ho1 0.215 0.215 0.431
Ho2 0.785 0.785 0.569
Ho3 0.000 0.500 0.000

Output
DFT total energy = -2.884 eV/atom
space group = Immm
total magnetic moment = 0.0 μB per formula unit
mass density = 7.74 g/cm³

[7]
A geometry-optimized MgNbCdGa2 structure. Source: the Alexandria database, functional PBE.

a = 4.995 Å, b = 5.051 Å, c = 4.995 Å
α = 90.00°, β = 90.00°, γ = 90.00°
Last column: magnetic moment on the atom in μB.
Fractional coordinates of all 5 atoms:
Mg1 0.000 0.500 0.000  -0.01
Ga1 0.500 0.000 0.000  -0.02
Ga2 0.000 0.000 0.500  -0.03
Cd1 0.000 0.000 0.000  0.00
Nb1 0.500 0.500 0.500  2.31

Output
DFT total energy = -2.650 eV/atom
space group = P4/mmm
total magnetic moment = 2.8 μB per formula unit
mass density = 4.86 g/cm³

[8]
A geometry-optimized YEr3Tm2Se6 structure. Source: the Alexandria database, functional PBE.

a = 4.027 Å, b = 8.107 Å, c = 9.026 Å
α = 103.18°, β = 102.89°, γ = 90.00°
Fractional coordinates of all 12 atoms:
Er1 0.165 0.833 0.329
Er2 0.500 0.500 0.000
Er3 0.835 0.167 0.671
Y1 0.500 0.000 0.000
Se1 0.001 0.254 0.002
Se2 0.999 0.746 0.998
Se3 0.331 0.914 0.662
Se4 0.669 0.086 0.338
Se5 0.332 0.418 0.665
Se6 0.668 0.582 0.335
Tm1 0.166 0.331 0.331
Tm2 0.834 0.669 0.669

Output
space group = C2/m
total magnetic moment = 0.0 μB per formula unit
raw formation energy = -1960 kJ/mol of formula units
mass density = 8.34 g/cm³

Question: Which formula does entry 5 have?
Answer: BeNb2InPd